# 1
## La3ScSn2 (PBE)

Data for a relaxed La3ScSn2 crystal.

abc: 9.2934 9.2934 9.2934
angles: 151.96 149.51 41.90
Closest atoms and distances in Å follow each position.
Fractional positions:
La (0.0000, 0.0000, 0.0000)  4 Sn 3.32, 4 Sc 3.32
La (0.1780, 0.6780, 0.5000)  5 Sn 3.34-3.43
La (0.8220, 0.3220, 0.5000)  5 Sn 3.34-3.43
Sc (0.5000, 0.5000, 0.0000)  4 Sn 3.18, 4 La 3.32
Sn (0.3705, 0.8705, 0.5000)  2 Sc 3.18, 7 La 3.32-3.43
Sn (0.6295, 0.1295, 0.5000)  2 Sc 3.18, 7 La 3.32-3.43

Calculated values
Formation energy from the elements (meV per atom): -608
Energy relative to the lowest polymorph listed for this composition (eV per atom): 0.000
Density of states at the Fermi level (states/eV/atom): 1.162

***

# 2
## LaSc2SnTe (PBE)

Data for a relaxed LaSc2SnTe crystal.

abc: 5.3662 5.3662 6.0564
angles: 90.00 90.00 90.00
Closest atoms and distances in Å follow each position.
Fractional positions:
La (0.0000, 0.0000, 0.0000)  4 Te 3.79, 8 Sc 4.05
Sc (0.0000, 0.5000, 0.5000)  2 Sn 2.68
Sc (0.5000, 0.0000, 0.5000)  2 Sn 2.68
Sn (0.5000, 0.5000, 0.5000)  4 Sc 2.68
Te (0.5000, 0.5000, 0.0000)  2 Sn 3.03

Calculated values
ΔE_f (raw) (meV/atom): 158
Density of states at the Fermi level (states/eV/atom): 0.941

***

# 3
## La2ScVSn (PBE)

Data for a relaxed La2ScVSn crystal.

abc: 5.5229 5.5229 5.3867
angles: 90.00 90.00 90.00
Closest atoms and distances in Å follow each position.
Fractional positions:
La (0.0000, 0.5000, 0.0000)  2 Sc 2.76
La (0.5000, 0.0000, 0.0000)  2 Sc 2.76
Sc (0.0000, 0.0000, 0.0000)  2 Sn 2.69, 4 La 2.76
V (0.5000, 0.5000, 0.5000)  8 La 3.86, 4 Sn 3.91
Sn (0.0000, 0.0000, 0.5000)  2 Sc 2.69

Calculated values
Formation energy from the elements (meV per atom): 1034
Density of states at the Fermi level (states/eV/atom): 1.718

***

# 4
## SrLaSc (PBE)

Data for a relaxed SrLaSc crystal.

abc: 5.2404 5.2404 8.5025
angles: 90.00 90.00 90.00
Closest atoms and distances in Å follow each position.
Fractional positions:
Sr (0.2500, 0.2500, 0.1782)  4 Sc 3.79, 5 La 3.84-4.05
Sr (0.7500, 0.7500, 0.8218)  4 Sc 3.79, 5 La 3.84-4.05
La (0.2500, 0.2500, 0.7022)  4 Sc 3.13
La (0.7500, 0.7500, 0.2978)  4 Sc 3.13
Sc (0.2500, 0.7500, 0.5000)  4 La 3.13
Sc (0.7500, 0.2500, 0.5000)  4 La 3.13

Calculated values
Formation energy from the elements (meV per atom): 324
Energy relative to the lowest polymorph listed for this composition (eV per atom): 0.210
Density of states at the Fermi level (states/eV/atom): 1.090

***

# 5
## SrLaSc (PBE)

Data for a relaxed SrLaSc crystal.

abc: 4.0009 4.0009 14.0476
angles: 90.00 90.00 90.00
Closest atoms and distances in Å follow each position.
Fractional positions:
Sr (0.0000, 0.0000, 0.0000)  8 Sr 4.00-4.27, 4 La 4.04
Sr (0.5000, 0.5000, 0.2276)  4 Sc 3.65, 4 Sr 4.00
La (0.5000, 0.5000, 0.5207)  8 Sc 3.36-3.42
La (0.5000, 0.5000, 0.7950)  4 Sc 3.42
Sc (0.0000, 0.0000, 0.3918)  4 La 3.36, 4 Sr 3.65, 1 Sc 3.74
Sc (0.0000, 0.0000, 0.6579)  8 La 3.42, 1 Sc 3.74

Calculated values
Formation energy from the elements (meV per atom): 114
Energy relative to the lowest polymorph listed for this composition (eV per atom): 0.000
Density of states at the Fermi level (states/eV/atom): 1.487

***

# 6
## SrLaSc (PBE)

Data for a relaxed SrLaSc crystal.

abc: 6.0928 5.6500 7.1120
angles: 90.00 114.74 90.00
Closest atoms and distances in Å follow each position.
Fractional positions:
Sr (0.2252, 0.2500, 0.0115)  5 Sc 3.76-4.16, 5 La 3.78-4.07, 2 Sr 3.89
Sr (0.7748, 0.7500, 0.9885)  5 Sc 3.76-4.16, 5 La 3.78-4.07, 2 Sr 3.89
La (0.1188, 0.7500, 0.6053)  2 La 3.24, 4 Sc 3.35-3.61
La (0.8812, 0.2500, 0.3947)  2 La 3.24, 4 Sc 3.35-3.61
Sc (0.4925, 0.2500, 0.6163)  2 Sc 3.29, 4 La 3.35-3.61
Sc (0.5075, 0.7500, 0.3837)  2 Sc 3.29, 4 La 3.35-3.61

Calculated values
Formation energy from the elements (meV per atom): 225
Energy relative to the lowest polymorph listed for this composition (eV per atom): 0.111
Density of states at the Fermi level (states/eV/atom): 2.043

***

# 7
## SrLa3Sc (PBE)

Data for a relaxed SrLa3Sc crystal.

abc: 5.9462 5.9462 5.9462
angles: 90.00 90.00 90.00
Closest atoms and distances in Å follow each position.
Fractional positions:
Sr (0.0000, 0.0000, 0.0000)  12 La 4.20
La (0.0000, 0.5000, 0.5000)  2 Sc 2.97
La (0.5000, 0.0000, 0.5000)  2 Sc 2.97
La (0.5000, 0.5000, 0.0000)  2 Sc 2.97
Sc (0.5000, 0.5000, 0.5000)  6 La 2.97

Calculated values
Formation energy from the elements (meV per atom): 392
Energy relative to the lowest polymorph listed for this composition (eV per atom): 0.000
Density of states at the Fermi level (states/eV/atom): 1.234

***

# 8
## SrLaSc2 (PBE)

Data for a relaxed SrLaSc2 crystal.

abc: 12.4075 12.4075 12.4075
angles: 16.24 16.24 16.24
Closest atoms and distances in Å follow each position.
Fractional positions:
Sr (0.0000, 0.0000, 0.0000)  2 Sc 3.38, 6 Sr 3.51
La (0.5000, 0.5000, 0.5000)  6 Sc 3.41, 6 La 3.51
Sc (0.0920, 0.0920, 0.0920)  1 Sr 3.38, 3 La 3.41, 6 Sc 3.51
Sc (0.9080, 0.9080, 0.9080)  1 Sr 3.38, 3 La 3.41, 6 Sc 3.51

Calculated values
Formation energy from the elements (meV per atom): 345
Energy relative to the lowest polymorph listed for this composition (eV per atom): 0.193
Density of states at the Fermi level (states/eV/atom): 1.668

***

These records have size of the total moment values of 0.1350; 0.5466; 0.0971; 0.0000; 0.0000; 0.0000; 0.0814; 0.0000 μB per atom, in the order they appear.